Material: ThVAg
Method: DFT, PBE-GGA
State: optimized geometry

**Size of the total moment**: 0.00 μB per formula unit
**N(E_F)**: 0.97 states/eV per atom
**Space group**: R-3m (166)
**Formation energy from the elements**: 0.38 eV/atom
**Theoretical density**: 9.89 g/cm3
**Final energy**: -6.0878 eV per atom
**Crystal system**: trigonal

Unit cell a=3.2672 b=3.2672 c=14.3175 alpha=83.45 beta=83.45 gamma=60.00
With the nearest neighbours (Å) after each atom.
Fractional positions:
Th  0.5901  0.5901  0.2296  3 V 3.11, 6 Th 3.27, 3 Ag 3.32
Th  0.4099  0.4099  0.7704  3 V 3.11, 6 Th 3.27, 3 Ag 3.32
V  0.3148  0.3148  0.0557  3 V 2.46
V  0.6852  0.6852  0.9443  3 V 2.46
Ag  0.8593  0.8593  0.4222  3 Ag 2.90
Ag  0.1407  0.1407  0.5778  3 Ag 2.90



Material: Th2VAg
Method: DFT, PBE-GGA
State: optimized geometry

**Size of the total moment**: 2.05 μB per formula unit
**N(E_F)**: 1.35 states/eV per atom
**Space group**: R-3m (166)
**Formation energy from the elements**: 0.63 eV/atom
**Theoretical density**: 10.21 g/cm3
**Final energy**: -6.0759 eV per atom
**Crystal system**: trigonal

Unit cell a=3.2786 b=3.2786 c=11.0469 alpha=81.47 beta=81.47 gamma=60.00
With the nearest neighbours (Å) after each atom.
Fractional positions:
Ag  0.5000  0.5000  0.5000  6 Ag 3.28, 6 Th 3.31
Th  0.0834  0.0834  0.7497  1 V 2.72
Th  0.9166  0.9166  0.2503  1 V 2.72
V  0.0000  0.0000  0.0000  2 Th 2.72



Material: Th2VAg
Method: DFT, PBE-GGA
State: optimized geometry

**Size of the total moment**: 2.04 μB per formula unit
**N(E_F)**: 0.98 states/eV per atom
**Space group**: P4/mmm (123)
**Formation energy from the elements**: 0.16 eV/atom
**Theoretical density**: 10.21 g/cm3
**Final energy**: -6.5442 eV per atom
**Crystal system**: tetragonal

Unit cell a=3.5484 b=3.5484 c=8.0455 alpha=90.00 beta=90.00 gamma=90.00
With the nearest neighbours (Å) after each atom.
Fractional positions:
Ag  0.5000  0.5000  0.5000  8 Th 3.31, 4 Ag 3.55
Th  0.0000  0.0000  0.7675  4 V 3.13, 4 Ag 3.31
Th  0.0000  0.0000  0.2325  4 V 3.13, 4 Ag 3.31
V  0.5000  0.5000  0.0000  8 Th 3.13